No. 1
Tb3P4Pd4: optimized geometry, PBE.

Properties
Space group: No. 71
E_form, meV per atom: -1102

a = 7.899 Å, b = 7.899 Å, c = 7.899 Å
α = 150.06°, β = 127.68°, γ = 61.45°
Fractional coordinates of all 11 atoms:
Tb  0.000  0.000  0.000
Tb  0.373  0.873  0.500
Tb  0.627  0.127  0.500
P  0.216  0.216  0.000
P  0.312  0.500  0.812
P  0.688  0.500  0.188
P  0.784  0.784  0.000
Pd  0.029  0.331  0.699
Pd  0.368  0.669  0.699
Pd  0.632  0.331  0.301
Pd  0.971  0.669  0.301

=====

No. 2
TbP3Pd10: optimized geometry, PBE.

Properties
Space group: No. 225
E_form, meV per atom: -630

a = 8.618 Å, b = 8.618 Å, c = 8.618 Å
α = 60.00°, β = 60.00°, γ = 60.00°
Fractional coordinates of all 28 atoms:
Tb  0.250  0.250  0.250
Tb  0.750  0.750  0.750
P  0.240  0.240  0.760
P  0.240  0.760  0.240
P  0.240  0.760  0.760
P  0.760  0.240  0.240
P  0.760  0.240  0.760
P  0.760  0.760  0.240
Pd  0.115  0.115  0.115
Pd  0.115  0.115  0.655
Pd  0.115  0.655  0.115
Pd  0.155  0.500  0.500
Pd  0.155  0.500  0.845
Pd  0.155  0.845  0.500
Pd  0.345  0.885  0.885
Pd  0.500  0.155  0.500
Pd  0.500  0.155  0.845
Pd  0.500  0.500  0.155
Pd  0.500  0.500  0.845
Pd  0.500  0.845  0.155
Pd  0.500  0.845  0.500
Pd  0.655  0.115  0.115
Pd  0.845  0.155  0.500
Pd  0.845  0.500  0.155
Pd  0.845  0.500  0.500
Pd  0.885  0.345  0.885
Pd  0.885  0.885  0.345
Pd  0.885  0.885  0.885

=====

No. 3
Tb2P7Pd12: optimized geometry, PBE.

Properties
Space group: No. 147
E_form, meV per atom: -696

a = 9.775 Å, b = 9.775 Å, c = 4.007 Å
α = 90.00°, β = 90.00°, γ = 120.00°
Fractional coordinates of all 21 atoms:
Tb  0.333  0.667  0.250
Tb  0.667  0.333  0.750
P  0.000  0.000  0.000
P  0.120  0.414  0.749
P  0.294  0.880  0.749
P  0.414  0.294  0.251
P  0.586  0.706  0.749
P  0.706  0.120  0.251
P  0.880  0.586  0.251
Pd  0.063  0.622  0.751
Pd  0.105  0.854  0.261
Pd  0.146  0.250  0.261
Pd  0.250  0.105  0.739
Pd  0.378  0.441  0.751
Pd  0.441  0.063  0.249
Pd  0.559  0.937  0.751
Pd  0.622  0.559  0.249
Pd  0.750  0.895  0.261
Pd  0.854  0.750  0.739
Pd  0.895  0.146  0.739
Pd  0.937  0.378  0.249

=====

No. 4
TbP2Pd5: optimized geometry, PBE.

Properties
Space group: No. 71
E_form, meV per atom: -732

a = 4.060 Å, b = 7.045 Å, c = 9.262 Å
α = 90.00°, β = 90.00°, γ = 90.00°
Fractional coordinates of all 16 atoms:
Tb  0.000  0.000  0.000
Tb  0.500  0.500  0.500
P  0.000  0.500  0.253
P  0.000  0.500  0.747
P  0.500  0.000  0.247
P  0.500  0.000  0.753
Pd  0.000  0.199  0.347
Pd  0.000  0.199  0.653
Pd  0.000  0.500  0.000
Pd  0.000  0.801  0.347
Pd  0.000  0.801  0.653
Pd  0.500  0.000  0.500
Pd  0.500  0.301  0.153
Pd  0.500  0.301  0.847
Pd  0.500  0.699  0.153
Pd  0.500  0.699  0.847

=====

| no. | magnetization (μB per cell) | uncorrected energy (eV/atom) |
| --- | --- | --- |
| 1 | 0.0 | -6.220 |
| 2 | 0.0 | -5.829 |
| 3 | 0.0 | -5.908 |
| 4 | 0.0 | -5.909 |